[1]
{
  "formula": "NaRuSe2",
  "functional": "PBE",
  "state": "relaxed",
  "lattice": [[0.000, 3.249, 3.249], [3.249, 0.000, 3.249], [3.249, 3.249, 0.000]],
  "species": ["Se", "Se", "Ru", "Na"],
  "frac_coords": [[0.750, 0.750, 0.750], [0.250, 0.250, 0.250], [0.500, 0.500, 0.500], [0.000, 0.000, 0.000]],
  "crystal_system": "cubic",
  "sg": "Fm-3m"
}

---

[2]
{
  "formula": "La4Dy3YSe8",
  "functional": "PBE",
  "state": "relaxed",
  "lattice": [[8.332, 0.000, 0.000], [0.000, 8.451, 0.078], [-4.166, -4.162, 5.894]],
  "species": ["Se", "Se", "Se", "Se", "Se", "Se", "Se", "Se", "La", "La", "La", "La", "Dy", "Dy", "Dy", "Y"],
  "frac_coords": [[0.244, 0.731, 0.987], [0.743, 0.730, 0.487], [0.257, 0.270, 0.513], [0.743, 0.731, 0.987], [0.756, 0.269, 0.511], [0.257, 0.269, 0.013], [0.756, 0.269, 0.013], [0.244, 0.731, 0.489], [0.500, 0.000, 0.000], [0.000, 0.000, 0.500], [0.500, 0.000, 0.500], [0.000, 0.000, 0.000], [0.500, 0.500, 0.500], [0.000, 0.500, 0.500], [0.500, 0.500, 0.000], [0.000, 0.500, 0.000]],
  "crystal_system": "trigonal",
  "sg": "R-3m"
}

---

| no. | calculated volume (Å³/f.u.) | total energy (eV/atom) |
| --- | --- | --- |
| 1 | 69 | -4.52 |
| 2 | 418 | -6.12 |